{"formula": "NpMnCr2O8", "functional": "PBE+U", "state": "relaxed", "lattice_angstrom": [[-0.4804, 1.6934, 4.3065], [4.3095, -1.4578, 0.9521], [2.2738, 5.4800, -1.9013]], "species": ["O", "O", "Cr", "Cr", "O", "O", "O", "O", "Np", "O", "Mn", "O"], "fractional_positions": [[0.7021, 0.7034, 0.5000], [0.8068, 0.1945, 0.7353], [0.5000, 0.5000, 0.7355], [0.5000, 0.5000, 0.2645], [0.2979, 0.2966, 0.5000], [0.1932, 0.8055, 0.7353], [0.1932, 0.8055, 0.2647], [0.6878, 0.6891, 0.0000], [0.0000, 0.0000, 0.0000], [0.8068, 0.1945, 0.2647], [0.0000, 0.0000, 0.5000], [0.3122, 0.3109, 0.0000]], "n_ef_per_ev_atom": 0.1750, "energy_ev_per_fu": -99.27, "vol_a3_per_atom": 11.22}